20
Lattice="-5.172 -0.065 -4.408 -10.245 0.600 6.774 -7.599 8.993 3.546" Properties=species:S:1:pos:R:3 comment="Tb5Nd2Er3, relaxed, DFT GGA-PBE" space_group="Ibam, No. 72" e_above_lowest_polymorph_mev_per_atom=210 magmom_total_mub_per_cell=0.0 delta_e_f_kj_per_mol_fu=390 dos_at_fermi_per_ev_cell=29.706 pbc="T T T"
Tb -7.579 2.833 3.613
Tb -15.436 6.695 2.299
Er -1.293 -0.016 -1.102
Tb -7.055 2.373 0.386
Er -16.319 3.821 3.377
Nd -3.893 2.027 -0.700
Er -3.879 -0.049 -3.306
Er -6.697 5.708 2.536
Tb -9.641 2.340 -1.817
Tb -9.687 4.317 0.827
Tb -12.801 4.748 1.854
Er -12.408 8.057 3.964
Nd -19.122 7.501 6.612
Nd -15.996 9.248 8.157
Tb -13.328 5.211 5.086
Tb -10.215 4.780 4.058
Tb -13.374 7.188 7.730
Er -10.608 1.471 1.948
Tb -15.960 7.156 5.526
Nd -7.019 0.280 -2.245